Material: NdBePd4
Method: DFT, PBE
State: optimized geometry

Lattice parameters (Å, degrees): 7.6901 3.8205 6.8492 90.00 90.00 90.00
With the nearest neighbours (Å) after each atom.
Space group Pmma (No. 51)
Symmetry-distinct sites (fractional):
Nd 0.2500 0.0000 0.1237  12 Pd 2.96-3.22, 1 Be 3.03
Be 0.2500 0.0000 0.6812  8 Pd 2.29-2.52
Pd 0.0000 0.0000 0.5000  2 Be 2.29
Pd 0.0665 0.5000 0.8056  2 Be 2.52, 2 Pd 2.79-2.82
Pd 0.2500 0.5000 0.4538  2 Be 2.46, 4 Pd 2.73

Energy relative to the elements (eV/atom): -0.622

---

Material: NdBePd2
Method: DFT, PBE
State: optimized geometry

Lattice parameters (Å, degrees): 4.1383 4.1383 15.1285 90.00 90.00 120.00
With the nearest neighbours (Å) after each atom.
Space group R-3m (No. 166, hexagonal axes)
Symmetry-distinct sites (fractional):
Nd 0.0000 0.0000 0.0000  8 Pd 3.04-3.17
Be 0.0000 0.0000 0.5000  6 Pd 2.48
Pd 0.0000 0.0000 0.2094  3 Be 2.48, 3 Pd 2.72

Energy relative to the lowest polymorph listed for this composition (meV per atom): 81
Energy relative to the elements (eV/atom): -0.609

---

Material: NdBePd
Method: DFT, PBE
State: optimized geometry

Lattice parameters (Å, degrees): 6.9000 10.7547 6.0905 90.00 90.00 90.00
With the nearest neighbours (Å) after each atom.
Space group Fmm2 (No. 42)
Symmetry-distinct sites (fractional):
Nd 0.0000 0.2352 0.0000  2 Be 2.74-2.85, 2 Nd 3.06
Be 0.0000 0.0000 0.1719  1 Be 2.17, 2 Pd 2.24
Be 0.0000 0.0000 0.5289  1 Be 2.17, 4 Pd 2.31-2.37
Pd 0.2057 0.0000 0.8271  3 Be 2.24-2.37

Energy relative to the lowest polymorph listed for this composition (meV per atom): 253
Energy relative to the elements (eV/atom): -0.213

---

Material: Nd2BePd3
Method: DFT, PBE
State: optimized geometry

Lattice parameters (Å, degrees): 3.9336 4.1555 7.7137 90.00 90.00 90.00
With the nearest neighbours (Å) after each atom.
Space group Pmm2 (No. 25)
Symmetry-distinct sites (fractional):
Nd 0.0000 0.0000 0.0000  8 Pd 3.00-3.29, 4 Be 3.16
Nd 0.0000 0.5000 0.4933  8 Pd 3.09-3.25, 2 Be 3.23
Be 0.5000 0.5000 0.8249  3 Pd 2.25-2.31
Pd 0.5000 0.0000 0.3424  3 Pd 2.70-2.71
Pd 0.5000 0.0000 0.6930  2 Be 2.31
Pd 0.5000 0.5000 0.1163  1 Be 2.25

Energy relative to the elements (eV/atom): -0.651

---

Material: NdBe4Pd12
Method: DFT, PBE
State: optimized geometry

Lattice parameters (Å, degrees): 8.0627 8.0627 8.0627 90.00 90.00 90.00
With the nearest neighbours (Å) after each atom.
Space group Im-3 (No. 204)
Symmetry-distinct sites (fractional):
Nd 0.0000 0.0000 0.0000  12 Pd 3.00
Be 0.2500 0.2500 0.2500  6 Pd 2.21
Pd 0.0000 0.1703 0.3305  2 Be 2.21

Energy relative to the elements (eV/atom): -0.277

---

Material: NdBe4Pd8
Method: DFT, PBE
State: optimized geometry

Lattice parameters (Å, degrees): 8.5166 8.5166 5.1172 90.00 90.00 90.00
With the nearest neighbours (Å) after each atom.
Space group I4/mmm (No. 139)
Symmetry-distinct sites (fractional):
Nd 0.0000 0.0000 0.0000  12 Pd 2.87-3.20
Be 0.2500 0.2500 0.2500  8 Pd 2.49-2.59, 2 Be 2.56
Pd 0.0000 0.2255 0.5000  4 Be 2.49, 6 Pd 2.72-2.73
Pd 0.0000 0.3365 0.0000  4 Be 2.59, 5 Pd 2.72-2.78, 1 Nd 2.87

Energy relative to the elements (eV/atom): -0.512

---

Among the records above, which one has the lowest energy relative to the elements?
Nd2BePd3

---

Look up the energy relative to the elements of the second one.
-0.609 eV/atom